[1]
Density functional theory data (PBE) for an optimized crystal structure of Er2Tm13.

Properties
The density of states at the Fermi level comes out at 31.131 states/eV/f.u. Its space group is P-1, No. 2. As for the magnetic moment: 0.0 μB per cell. Its energy above the most stable polymorph in this dataset is 0.0 kJ/mol of atoms.

```
15
Lattice="6.452 -0.209 0.473 -1.121 8.491 0.505 0.136 -3.631 8.052" Properties=species:S:1:pos:R:3 pbc="T T T"
Er 4.351 4.473 5.634
Er 1.116 0.177 3.396
Tm 4.276 4.636 0.849
Tm 1.191 0.014 8.181
Tm 0.000 0.000 0.000
Tm 2.242 -2.487 5.529
Tm 3.225 7.137 3.501
Tm 0.068 2.339 5.903
Tm 5.399 2.311 3.127
Tm 2.174 3.492 3.382
Tm 3.293 1.158 5.648
Tm 2.231 3.333 8.146
Tm 3.235 1.317 0.884
Tm 5.464 -1.173 6.408
Tm 0.003 5.823 2.622
```


[2]
Density functional theory data (PBE) for an optimized crystal structure of HfUC.

Properties
The density of states at the Fermi level comes out at 2.957 states/eV/f.u. Its space group is Pnma, No. 62. As for the magnetic moment: 0.0 μB per cell. As for the calculated total energy: -10.60 eV per atom.

```
12
Lattice="-0.182 2.171 -2.488 -3.288 -0.865 -0.515 -4.812 11.896 10.732" Properties=species:S:1:pos:R:3 pbc="T T T"
C -6.552 10.768 6.519
C -4.141 4.762 1.220
C -1.729 2.433 1.210
C -4.140 8.440 6.509
U -3.464 6.829 4.904
U -1.041 0.675 -0.226
U -4.817 6.373 2.825
U -7.240 12.527 7.954
Hf -5.899 9.156 5.057
Hf -3.487 3.143 -0.234
Hf -2.382 4.046 2.671
Hf -4.793 10.059 7.963
```


[3]
Density functional theory data (PBE) for an optimized crystal structure of Na4Y3ZrS8.

Properties
The density of states at the Fermi level comes out at 4.627 states/eV/f.u. The uncorrected formation energy comes out at -1.74 eV per atom. Its space group is R-3m, No. 166. As for the magnetic moment: 0.0 μB per cell.

```
16
Lattice="-2.032 -4.526 6.054 3.827 -6.265 -3.399 3.955 6.641 1.233" Properties=species:S:1:pos:R:3 pbc="T T T"
Na -1.016 -2.263 3.027
Na 0.962 1.057 3.643
Na 0.000 0.000 0.000
Na 1.978 3.321 0.616
Y 0.898 -5.396 1.327
Y 2.875 -2.075 1.944
Y 3.891 0.188 -1.083
Zr 1.914 -3.132 -1.700
S 6.213 0.959 0.182
S 4.165 -2.480 -0.456
S 2.537 0.558 1.269
S 5.161 -1.385 3.317
S 0.590 -2.765 0.571
S 3.214 -4.708 2.619
S 1.585 -1.670 4.343
S -0.462 -5.109 3.705
```


[4]
Density functional theory data (PBE) for an optimized crystal structure of DyScIn2.

Properties
The density of states at the Fermi level comes out at 3.167 states/eV/f.u. Its space group is P4/mmm, No. 123. As for the magnetic moment: 0.6 μB per cell. As for the calculated total energy: -4.53 eV per atom.

```
4
Lattice="-0.767 -1.694 3.975 -2.699 -3.352 -1.950 3.789 -2.785 -0.456" Properties=species:S:1:pos:R:3 pbc="T T T"
Sc -0.383 -0.847 1.988
In 1.895 -1.393 -0.228
In -1.350 -1.676 -0.975
Dy 0.162 -3.916 0.785
```


[5]
Density functional theory data (PBE) for an optimized crystal structure of SbPb2N.

Properties
The density of states at the Fermi level comes out at 2.254 states/eV/f.u. The uncorrected formation energy comes out at 0.57 eV per atom. Its space group is I-42d, No. 122. As for the magnetic moment: 0.0 μB per cell. Its energy above the most stable polymorph in this dataset is 19.0 kJ/mol of atoms.

```
8
Lattice="6.929 0.000 0.000 0.000 6.929 0.000 3.465 3.465 4.569" Properties=species:S:1:pos:R:3 pbc="T T T"
Pb 4.615 1.732 1.142
Pb 2.314 5.197 1.142
Pb 5.197 5.779 3.427
Pb 8.662 8.080 3.427
Sb 0.000 0.000 0.000
Sb 6.929 3.465 2.284
N 3.465 3.465 0.000
N 3.465 6.929 2.284
```


[6]
Density functional theory data (PBE) for an optimized crystal structure of Li2SiHgH.

Properties
The density of states at the Fermi level comes out at 1.147 states/eV/f.u. Its space group is P4/mmm, No. 123. As for the magnetic moment: 0.0 μB per cell. As for the calculated total energy: -2.65 eV per atom.

```
5
Lattice="4.233 0.000 0.000 0.000 4.233 0.000 0.000 0.000 3.709" Properties=species:S:1:pos:R:3 pbc="T T T"
H 0.000 0.000 0.000
Si 0.000 0.000 1.855
Hg 2.116 2.116 1.855
Li 0.000 2.116 0.000
Li 2.116 0.000 0.000
```


[7]
Density functional theory data (PBE) for an optimized crystal structure of Ce2HfCrN5.

Properties
The density of states at the Fermi level comes out at 5.758 states/eV/f.u. The uncorrected formation energy comes out at -1.28 eV per atom. Its space group is Cmc2_1, No. 36. As for the magnetic moment: 0.0 μB per cell.

```
18
Lattice="-2.445 1.045 -1.995 4.349 -3.202 -4.237 -4.982 -8.770 1.513" Properties=species:S:1:pos:R:3 pbc="T T T"
Ce -2.994 -8.458 -3.530
Ce -2.736 -6.655 -0.132
Ce -0.634 -3.436 -1.022
Ce 0.254 -3.223 -4.768
Hf -1.929 -5.508 -3.290
Hf 1.253 -1.190 -2.159
Cr -5.890 -8.022 0.248
Cr 0.699 -6.623 -4.325
N 2.293 -1.975 -3.844
N -4.450 -8.099 -1.557
N -0.862 -9.539 -3.938
N -1.492 -7.296 -1.992
N -1.025 -6.657 -4.998
N -2.888 -4.580 -1.629
N 0.143 -4.991 -2.789
N -2.597 -2.058 -0.665
N -0.665 -2.010 -3.006
N 0.063 -0.545 -0.363
```


[8]
Density functional theory data (PBE) for an optimized crystal structure of RbZnSn3.

Properties
The density of states at the Fermi level comes out at 2.354 states/eV/f.u. Its space group is I4mm, No. 107. As for the magnetic moment: 0.0 μB per cell. Its energy above the most stable polymorph in this dataset is 0.3 kJ/mol of atoms.

```
5
Lattice="4.787 0.000 1.653 -0.571 4.753 1.657 0.320 0.356 6.826" Properties=species:S:1:pos:R:3 pbc="T T T"
Rb 2.085 1.286 7.187
Zn -0.127 4.192 5.838
Sn 2.673 4.649 5.490
Sn 0.566 2.273 3.836
Sn 3.492 2.874 3.121
```